#w
Entry from Alexandria: a relaxed CaY2Pt crystal (GGA-PBE).

```
16
Lattice="8.771 0.000 0.000 0.000 8.771 0.000 0.000 0.000 6.409" Properties=species:S:1:pos:R:3 pbc="T T T"
Ca 0.000 0.000 0.000
Ca 0.000 4.386 1.602
Ca 4.386 0.000 4.807
Ca 4.386 4.386 3.204
Y 1.484 2.193 4.006
Y 2.193 5.870 5.608
Y 2.193 7.288 2.403
Y 2.902 2.193 0.801
Y 5.870 6.579 0.801
Y 6.579 1.484 2.403
Y 6.579 2.902 5.608
Y 7.288 6.579 4.006
Pt 0.000 0.000 3.204
Pt 0.000 4.386 4.807
Pt 4.386 0.000 1.602
Pt 4.386 4.386 0.000
```

**Crystal system**: tetragonal
**DOS at the Fermi energy**: 25.47 states/eV/cell
**Total moment**: 0.0 μB per formula unit
**ρ**: 5.56 g/cm³
**Space-group type**: I-42d

***

#x
Entry from Alexandria: a relaxed CaY2Pt crystal (GGA-PBE).

```
16
Lattice="4.002 0.000 0.000 0.000 12.511 0.000 0.000 0.000 9.126" Properties=species:S:1:pos:R:3 pbc="T T T"
Ca 0.000 0.823 2.282
Ca 0.000 11.688 6.845
Ca 2.001 5.433 6.845
Ca 2.001 7.078 2.282
Y 0.000 4.446 0.551
Y 0.000 4.446 4.012
Y 0.000 8.065 5.114
Y 0.000 8.065 8.575
Y 2.001 1.809 5.114
Y 2.001 1.809 8.575
Y 2.001 10.702 0.551
Y 2.001 10.702 4.012
Pt 0.000 2.995 6.845
Pt 0.000 9.517 2.282
Pt 2.001 3.261 2.282
Pt 2.001 9.250 6.845
```

**Crystal system**: orthorhombic
**DOS at the Fermi energy**: 21.63 states/eV/cell
**Total moment**: 0.0 μB per formula unit
**ρ**: 6.00 g/cm³
**Space-group type**: Cmcm

***

Energies in eV/atom, measured from the most stable structure: #w 0.210; #x 0.000.